(1)
DFT (GGA-PBE) results for CaDyInCu after structural relaxation.

Values from the calculation:
formation enthalpy at 0 K: -0.27 eV/atom
spin magnetization: 0.0 Bohr magnetons per cell

Unit cell a=7.348 b=7.348 c=7.348 alpha=90.00 beta=90.00 gamma=90.00
Space group F-43m (No. 216)
Unique sites:
1 Ca 0.000 0.000 0.000 (multiplicity 4)
2 Dy 0.000 0.000 0.500 (multiplicity 4)
3 In 0.250 0.250 0.750 (multiplicity 4)
4 Cu 0.250 0.250 0.250 (multiplicity 4)

=====

(2)
DFT (GGA-PBE) results for LiCaDyCu after structural relaxation.

Values from the calculation:
formation enthalpy at 0 K: 0.01 eV/atom
spin magnetization: 0.0 Bohr magnetons per cell

Unit cell a=7.197 b=7.197 c=7.197 alpha=90.00 beta=90.00 gamma=90.00
Space group F-43m (No. 216)
Unique sites:
1 Li 0.000 0.000 0.000 (multiplicity 4)
2 Ca 0.250 0.250 0.750 (multiplicity 4)
3 Dy 0.250 0.250 0.250 (multiplicity 4)
4 Cu 0.000 0.000 0.500 (multiplicity 4)

=====

(3)
DFT (GGA-PBE) results for CaDyCuPb after structural relaxation.

Values from the calculation:
formation enthalpy at 0 K: -0.32 eV/atom
spin magnetization: 0.0 Bohr magnetons per cell

Unit cell a=7.423 b=7.423 c=7.423 alpha=90.00 beta=90.00 gamma=90.00
Space group F-43m (No. 216)
Unique sites:
1 Ca 0.000 0.000 0.000 (multiplicity 4)
2 Dy 0.000 0.000 0.500 (multiplicity 4)
3 Cu 0.250 0.250 0.250 (multiplicity 4)
4 Pb 0.250 0.250 0.750 (multiplicity 4)

=====

- Look up the spin magnetization of the second one.
  0.0 Bohr magnetons per cell